No. 1
# Ac5MgSi2 (GGA-PBE, optimized geometry)
data_Ac5MgSi2
_symmetry_space_group_name_H-M 'I 4/m c m'
_symmetry_Int_Tables_number 140
_symmetry_space_group_name_Hall '-I 4 2c'
_cell_length_a 8.246
_cell_length_b 8.246
_cell_length_c 16.389
_cell_angle_alpha 90.00
_cell_angle_beta 90.00
_cell_angle_gamma 90.00
loop_
_atom_site_label
_atom_site_type_symbol
_atom_site_fract_x
_atom_site_fract_y
_atom_site_fract_z
_atom_site_occupancy
Ac1 Ac 0.000 0.000 0.000 1
Ac2 Ac 0.176 0.324 0.137 1
Mg1 Mg 0.000 0.000 0.250 1
Si1 Si 0.109 0.391 0.500 1
# Raw total energy   -4.418 eV per atom

No. 2
# AcMgSi (GGA-PBE, optimized geometry)
data_AcMgSi
_symmetry_space_group_name_H-M 'P 1 21/m 1'
_symmetry_Int_Tables_number 11
_cell_length_a 7.550
_cell_length_b 4.517
_cell_length_c 13.980
_cell_angle_alpha 90.00
_cell_angle_beta 90.68
_cell_angle_gamma 90.00
loop_
_symmetry_equiv_pos_as_xyz
'x,y,z'
'-x,-y,-z'
'-x,y+1/2,-z'
'x,-y+1/2,z'
loop_
_atom_site_label
_atom_site_type_symbol
_atom_site_fract_x
_atom_site_fract_y
_atom_site_fract_z
_atom_site_occupancy
Ac1 Ac 0.015 0.250 0.376 1
Ac2 Ac 0.156 0.250 0.080 1
Ac3 Ac 0.466 0.750 0.705 1
Mg1 Mg 0.135 0.250 0.814 1
Mg2 Mg 0.355 0.750 0.456 1
Mg3 Mg 0.495 0.750 0.093 1
Si1 Si 0.236 0.750 0.246 1
Si2 Si 0.276 0.250 0.558 1
Si3 Si 0.285 0.750 0.917 1
# Raw total energy   -4.116 eV per atom
# Relative energy among the computed polymorphs   1.8 kJ per mole of atoms

No. 3
# AcMgSi2 (GGA-PBE, optimized geometry)
data_AcMgSi2
_symmetry_space_group_name_H-M 'P n m a'
_symmetry_Int_Tables_number 62
_cell_length_a 8.276
_cell_length_b 4.044
_cell_length_c 11.106
_cell_angle_alpha 90.00
_cell_angle_beta 90.00
_cell_angle_gamma 90.00
loop_
_symmetry_equiv_pos_as_xyz
'x,y,z'
'-x,-y,-z'
'-x+1/2,-y,z+1/2'
'x+1/2,y,-z+1/2'
'x+1/2,-y+1/2,-z+1/2'
'-x+1/2,y+1/2,z+1/2'
'-x,y+1/2,-z'
'x,-y+1/2,z'
loop_
_atom_site_label
_atom_site_type_symbol
_atom_site_fract_x
_atom_site_fract_y
_atom_site_fract_z
_atom_site_occupancy
Ac1 Ac 0.124 0.250 0.137 1
Mg1 Mg 0.004 0.250 0.610 1
Si1 Si 0.181 0.250 0.821 1
Si2 Si 0.234 0.250 0.432 1
# Raw total energy   -4.576 eV per atom
# Relative energy among the computed polymorphs   0.0 kJ per mole of atoms

No. 4
# Ac3Mg7Si4 (GGA-PBE, optimized geometry)
data_Ac3Mg7Si4
_symmetry_space_group_name_H-M 'C 1 2/m 1'
_symmetry_Int_Tables_number 12
_cell_length_a 17.200
_cell_length_b 4.508
_cell_length_c 10.648
_cell_angle_alpha 90.00
_cell_angle_beta 124.62
_cell_angle_gamma 90.00
loop_
_symmetry_equiv_pos_as_xyz
'x,y,z'
'-x,-y,-z'
'-x,y,-z'
'x,-y,z'
'x+1/2,y+1/2,z'
'-x+1/2,-y+1/2,-z'
'-x+1/2,y+1/2,-z'
'x+1/2,-y+1/2,z'
loop_
_atom_site_label
_atom_site_type_symbol
_atom_site_fract_x
_atom_site_fract_y
_atom_site_fract_z
_atom_site_occupancy
Ac1 Ac 0.000 0.000 0.000 1
Ac2 Ac 0.193 0.500 0.702 1
Mg1 Mg 0.000 0.000 0.500 1
Mg2 Mg 0.008 0.500 0.296 1
Mg3 Mg 0.161 0.000 0.428 1
Mg4 Mg 0.180 0.500 0.019 1
Si1 Si 0.121 0.000 0.843 1
Si2 Si 0.156 0.500 0.267 1
# Raw total energy   -3.559 eV per atom

No. 5
# AcMgSi (GGA-PBE, optimized geometry)
data_AcMgSi
_symmetry_space_group_name_H-M 'F -4 3 m'
_symmetry_Int_Tables_number 216
_symmetry_space_group_name_Hall 'F -4 2 3'
_cell_length_a 7.059
_cell_length_b 7.059
_cell_length_c 7.059
_cell_angle_alpha 90.00
_cell_angle_beta 90.00
_cell_angle_gamma 90.00
loop_
_atom_site_label
_atom_site_type_symbol
_atom_site_fract_x
_atom_site_fract_y
_atom_site_fract_z
_atom_site_occupancy
Ac1 Ac 0.000 0.000 0.000 1
Mg1 Mg 0.000 0.000 0.500 1
Si1 Si 0.250 0.250 0.750 1
# Raw total energy   -3.971 eV per atom
# Relative energy among the computed polymorphs   15.8 kJ per mole of atoms

No. 6
# AcMg6Si2 (GGA-PBE, optimized geometry)
data_AcMg6Si2
_symmetry_space_group_name_H-M 'P 4/m m m'
_symmetry_Int_Tables_number 123
_symmetry_space_group_name_Hall '-P 4 2'
_cell_length_a 4.430
_cell_length_b 4.430
_cell_length_c 10.429
_cell_angle_alpha 90.00
_cell_angle_beta 90.00
_cell_angle_gamma 90.00
loop_
_atom_site_label
_atom_site_type_symbol
_atom_site_fract_x
_atom_site_fract_y
_atom_site_fract_z
_atom_site_occupancy
Ac1 Ac 0.000 0.000 0.000 1
Mg1 Mg 0.000 0.000 0.500 1
Mg2 Mg 0.000 0.500 0.278 1
Mg3 Mg 0.500 0.500 0.500 1
Si1 Si 0.500 0.500 0.118 1
# Raw total energy   -2.959 eV per atom

No. 7
# AcMg5Si2 (GGA-PBE, optimized geometry)
data_AcMg5Si2
_symmetry_space_group_name_H-M 'I m m m'
_symmetry_Int_Tables_number 71
_symmetry_space_group_name_Hall '-I 2 2'
_cell_length_a 4.294
_cell_length_b 8.278
_cell_length_c 10.401
_cell_angle_alpha 90.00
_cell_angle_beta 90.00
_cell_angle_gamma 90.00
loop_
_atom_site_label
_atom_site_type_symbol
_atom_site_fract_x
_atom_site_fract_y
_atom_site_fract_z
_atom_site_occupancy
Ac1 Ac 0.000 0.000 0.000 1
Mg1 Mg 0.000 0.184 0.346 1
Mg2 Mg 0.000 0.500 0.000 1
Si1 Si 0.000 0.500 0.262 1
# Raw total energy   -3.094 eV per atom

No. 8
# Ac5Mg2Si4 (GGA-PBE, optimized geometry)
data_Ac5Mg2Si4
_symmetry_space_group_name_H-M 'C 1 2/m 1'
_symmetry_Int_Tables_number 12
_cell_length_a 21.599
_cell_length_b 4.330
_cell_length_c 7.764
_cell_angle_alpha 90.00
_cell_angle_beta 111.02
_cell_angle_gamma 90.00
loop_
_symmetry_equiv_pos_as_xyz
'x,y,z'
'-x,-y,-z'
'-x,y,-z'
'x,-y,z'
'x+1/2,y+1/2,z'
'-x+1/2,-y+1/2,-z'
'-x+1/2,y+1/2,-z'
'x+1/2,-y+1/2,z'
loop_
_atom_site_label
_atom_site_type_symbol
_atom_site_fract_x
_atom_site_fract_y
_atom_site_fract_z
_atom_site_occupancy
Ac1 Ac 0.000 0.000 0.000 1
Ac2 Ac 0.164 0.500 0.395 1
Ac3 Ac 0.164 0.500 0.933 1
Mg1 Mg 0.071 0.000 0.572 1
Si1 Si 0.000 0.500 0.333 1
Si2 Si 0.204 0.000 0.704 1
# Raw total energy   -4.431 eV per atom

No. 9
# Ac2MgSi2 (GGA-PBE, optimized geometry)
data_Ac2MgSi2
_symmetry_space_group_name_H-M 'P 4/m n c'
_symmetry_Int_Tables_number 128
_symmetry_space_group_name_Hall '-P 4 2n'
_cell_length_a 7.739
_cell_length_b 7.739
_cell_length_c 9.328
_cell_angle_alpha 90.00
_cell_angle_beta 90.00
_cell_angle_gamma 90.00
loop_
_atom_site_label
_atom_site_type_symbol
_atom_site_fract_x
_atom_site_fract_y
_atom_site_fract_z
_atom_site_occupancy
Ac1 Ac 0.181 0.319 0.000 1
Mg1 Mg 0.000 0.000 0.250 1
Si1 Si 0.112 0.612 0.250 1
# Raw total energy   -4.676 eV per atom

No. 10
# Ac2Mg6Si3 (GGA-PBE, optimized geometry)
data_Ac2Mg6Si3
_symmetry_space_group_name_H-M 'P -6 2 m'
_symmetry_Int_Tables_number 189
_symmetry_space_group_name_Hall 'P -6 -2'
_cell_length_a 8.3463
_cell_length_b 8.3463
_cell_length_c 4.4159
_cell_angle_alpha 90.00
_cell_angle_beta 90.00
_cell_angle_gamma 120.00
loop_
_atom_site_label
_atom_site_type_symbol
_atom_site_fract_x
_atom_site_fract_y
_atom_site_fract_z
_atom_site_occupancy
Ac1 Ac 0.3333 0.6667 0.0000 1
Mg1 Mg 0.0000 0.2920 0.5000 1
Mg2 Mg 0.0000 0.7968 0.0000 1
Si1 Si 0.0000 0.6153 0.5000 1
# Raw total energy   -3.421 eV per atom

No. 11
# AcMg2Si (GGA-PBE, optimized geometry)
data_AcMg2Si
_symmetry_space_group_name_H-M 'P 4/n m m'
_symmetry_Int_Tables_number 129
_cell_length_a 4.323
_cell_length_b 4.323
_cell_length_c 11.446
_cell_angle_alpha 90.00
_cell_angle_beta 90.00
_cell_angle_gamma 90.00
loop_
_symmetry_equiv_pos_as_xyz
'x,y,z'
'-x,-y,-z'
'-y+1/2,x,z'
'y+1/2,-x,-z'
'-x+1/2,-y+1/2,z'
'x+1/2,y+1/2,-z'
'y,-x+1/2,z'
'-y,x+1/2,-z'
'x+1/2,-y,-z'
'-x+1/2,y,z'
'-y,-x,-z'
'y,x,z'
'-x,y+1/2,-z'
'x,-y+1/2,z'
'y+1/2,x+1/2,-z'
'-y+1/2,-x+1/2,z'
loop_
_atom_site_label
_atom_site_type_symbol
_atom_site_fract_x
_atom_site_fract_y
_atom_site_fract_z
_atom_site_occupancy
Ac1 Ac 0.250 0.250 0.249 1
Mg1 Mg 0.250 0.250 0.563 1
Mg2 Mg 0.250 0.750 0.000 1
Si1 Si 0.250 0.250 0.846 1
# Raw total energy   -3.446 eV per atom

No. 12
# AcMgSi3 (GGA-PBE, optimized geometry)
data_AcMgSi3
_symmetry_space_group_name_H-M 'C m c m'
_symmetry_Int_Tables_number 63
_symmetry_space_group_name_Hall '-C 2c 2'
_cell_length_a 4.471
_cell_length_b 24.047
_cell_length_c 4.089
_cell_angle_alpha 90.00
_cell_angle_beta 90.00
_cell_angle_gamma 90.00
loop_
_atom_site_label
_atom_site_type_symbol
_atom_site_fract_x
_atom_site_fract_y
_atom_site_fract_z
_atom_site_occupancy
Ac1 Ac 0.000 0.078 0.250 1
Mg1 Mg 0.000 0.204 0.750 1
Si1 Si 0.000 0.315 0.750 1
Si2 Si 0.000 0.370 0.250 1
Si3 Si 0.000 0.474 0.250 1
# Raw total energy   -4.703 eV per atom

no.,volume (Å³ per cell)
1,1114.4
2,476.7
3,371.7
4,679.5
5,351.8
6,204.7
7,369.7
8,677.7
9,558.6
10,266.4
11,213.9
12,439.5